[1]
# Er8Sc2Pb (PBE, optimized geometry)
data_Er8Sc2Pb
_space_group_name_H-M_alt 'C 1 2/m 1'
_space_group_IT_number 12
_cell_length_a 17.551
_cell_length_b 4.839
_cell_length_c 7.742
_cell_angle_alpha 90.00
_cell_angle_beta 106.05
_cell_angle_gamma 90.00
loop_
_space_group_symop_operation_xyz
'x,y,z'
'-x,-y,-z'
'-x,y,-z'
'x,-y,z'
'x+1/2,y+1/2,z'
'-x+1/2,-y+1/2,-z'
'-x+1/2,y+1/2,-z'
'x+1/2,-y+1/2,z'
loop_
_atom_site_label
_atom_site_fract_x
_atom_site_fract_y
_atom_site_fract_z
Er1 0.046 0.000 0.223
Er2 0.095 0.500 0.948
Er3 0.140 0.000 0.686
Er4 0.183 0.500 0.410
Sc1 0.223 0.000 0.132
Pb1 0.000 0.500 0.500
# N(E_F) = 31.4 states/eV/cell

=====

[2]
# ErSc2Pb (PBE, optimized geometry)
data_ErSc2Pb
_space_group_name_H-M_alt 'C m c m'
_space_group_IT_number 63
_space_group_name_Hall '-C 2c 2'
_cell_length_a 4.124
_cell_length_b 11.893
_cell_length_c 8.782
_cell_angle_alpha 90.00
_cell_angle_beta 90.00
_cell_angle_gamma 90.00
loop_
_atom_site_label
_atom_site_fract_x
_atom_site_fract_y
_atom_site_fract_z
Er1 0.000 0.051 0.250
Sc1 0.000 0.369 0.053
Pb1 0.000 0.242 0.750
# N(E_F) = 18.1 states/eV/cell
# Offset from the most stable computed form = 0.0890 eV/atom

=====

[3]
# Er3ScPb (PBE, optimized geometry)
data_Er3ScPb
_space_group_name_H-M_alt 'P 1 21/m 1'
_space_group_IT_number 11
_cell_length_a 8.357
_cell_length_b 3.812
_cell_length_c 8.927
_cell_angle_alpha 90.00
_cell_angle_beta 91.94
_cell_angle_gamma 90.00
loop_
_space_group_symop_operation_xyz
'x,y,z'
'-x,-y,-z'
'-x,y+1/2,-z'
'x,-y+1/2,z'
loop_
_atom_site_label
_atom_site_fract_x
_atom_site_fract_y
_atom_site_fract_z
Er1 0.041 0.250 0.169
Er2 0.337 0.750 0.015
Er3 0.432 0.250 0.343
Sc1 0.145 0.750 0.479
Pb1 0.263 0.250 0.724
# N(E_F) = 12.7 states/eV/cell
# Offset from the most stable computed form = 0.0167 eV/atom

=====

[4]
# Er4ScPb2 (PBE, optimized geometry)
data_Er4ScPb2
_space_group_name_H-M_alt 'I 4/m m m'
_space_group_IT_number 139
_space_group_name_Hall '-I 4 2'
_cell_length_a 5.159
_cell_length_b 5.159
_cell_length_c 16.585
_cell_angle_alpha 90.00
_cell_angle_beta 90.00
_cell_angle_gamma 90.00
loop_
_atom_site_label
_atom_site_fract_x
_atom_site_fract_y
_atom_site_fract_z
Er1 0.000 0.000 0.180
Er2 0.000 0.500 0.000
Sc1 0.000 0.000 0.000
Pb1 0.000 0.000 0.367
# N(E_F) = 16.2 states/eV/cell
# Offset from the most stable computed form = 0.5792 eV/atom

=====

DFT formation energy for every record listed, in sequence, given in eV/atom: -0.068; -0.232; -0.157; 0.344.
Final energy for every record listed, in sequence, given in eV/f.u.: -53.6; -21.9; -24.5; -29.6.